(1)
Density functional theory data (PBE) for a relaxed structure of P2Se.

a b c (Å): 5.655 5.655 6.998
angles (deg): 90.00 90.00 90.00
Space group I4/mcm (No. 140)
Inequivalent atoms, fractional coordinates:
P 0.132 0.368 0.000 x8
Se 0.000 0.000 0.250 x4

Calculated density ... 4182 kg/m³
Energy relative to the lowest polymorph listed for this composition ... 0.5578 eV per atom
Raw total energy ... -50.39 eV/cell
Density of states at the Fermi level ... 0.451 states/eV per atom
ΔE_f (raw) ... 0.569 eV/atom



(2)
Density functional theory data (PBE) for a relaxed structure of P2Se.

a b c (Å): 2.933 2.933 13.978
angles (deg): 90.00 90.00 90.00
Space group I4/mmm (No. 139)
Inequivalent atoms, fractional coordinates:
P 0.000 0.000 0.212 x4
Se 0.000 0.000 0.500 x2

Calculated density ... 3892 kg/m³
Energy relative to the lowest polymorph listed for this composition ... 0.5110 eV per atom
Raw total energy ... -25.48 eV/cell
Density of states at the Fermi level ... 0.773 states/eV per atom
ΔE_f (raw) ... 0.522 eV/atom



(3)
Density functional theory data (PBE) for a relaxed structure of P2Se.

a b c (Å): 6.348 3.640 10.791
angles (deg): 90.00 97.57 90.00
Space group C2/m (No. 12)
Inequivalent atoms, fractional coordinates:
P 0.048 0.000 0.190 x4
P 0.149 0.500 0.066 x4
Se 0.148 0.500 0.675 x4

Calculated density ... 3786 kg/m³
Energy relative to the lowest polymorph listed for this composition ... 0.0952 eV per atom
Raw total energy ... -55.95 eV/cell
Density of states at the Fermi level ... 0.140 states/eV per atom
ΔE_f (raw) ... 0.106 eV/atom



(4)
Density functional theory data (PBE) for a relaxed structure of P3Se.

a b c (Å): 9.318 9.176 4.602
angles (deg): 90.00 90.00 90.00
Space group Cmcm (No. 63)
Inequivalent atoms, fractional coordinates:
P 0.000 0.168 0.250 x4
P 0.116 0.127 0.750 x8
Se 0.000 0.355 0.750 x4

Calculated density ... 2901 kg/m³
Energy relative to the lowest polymorph listed for this composition ... 0.3672 eV per atom
Raw total energy ... -70.93 eV/cell
Density of states at the Fermi level ... 0.338 states/eV per atom
ΔE_f (raw) ... 0.495 eV/atom



(5)
Density functional theory data (PBE) for a relaxed structure of P3Se.

a b c (Å): 6.377 6.377 6.377
angles (deg): 90.00 90.00 90.00
Space group Fm-3m (No. 225)
Inequivalent atoms, fractional coordinates:
P 0.000 0.000 0.000 x4
P 0.250 0.250 0.250 x8
Se 0.000 0.000 0.500 x4

Calculated density ... 4403 kg/m³
Energy relative to the lowest polymorph listed for this composition ... 0.6284 eV per atom
Raw total energy ... -66.75 eV/cell
Density of states at the Fermi level ... 0.327 states/eV per atom
ΔE_f (raw) ... 0.757 eV/atom



(6)
Density functional theory data (PBE) for a relaxed structure of P3Se.

a b c (Å): 3.139 4.455 9.790
angles (deg): 90.00 90.00 90.00
Space group Cmmm (No. 65)
Inequivalent atoms, fractional coordinates:
P 0.000 0.000 0.000 x2
P 0.000 0.500 0.190 x4
Se 0.000 0.000 0.500 x2

Calculated density ... 4169 kg/m³
Energy relative to the lowest polymorph listed for this composition ... 0.5267 eV per atom
Raw total energy ... -34.19 eV/cell
Density of states at the Fermi level ... 0.396 states/eV per atom
ΔE_f (raw) ... 0.655 eV/atom



(7)
Density functional theory data (PBE) for a relaxed structure of PSe8.

a b c (Å): 11.585 11.585 3.645
angles (deg): 90.00 90.00 90.00
Space group I4/mmm (No. 139)
Inequivalent atoms, fractional coordinates:
P 0.000 0.000 0.000 x2
Se 0.000 0.219 0.000 x8
Se 0.175 0.175 0.500 x8

Calculated density ... 4498 kg/m³
Raw total energy ... -60.54 eV/cell
Density of states at the Fermi level ... 0.361 states/eV per atom
ΔE_f (raw) ... 0.335 eV/atom



(8)
Density functional theory data (PBE) for a relaxed structure of P2Se.

a b c (Å): 4.7048 4.7048 5.2917
angles (deg): 90.00 90.00 120.00
Space group P6_3/mmc (No. 194)
Inequivalent atoms, fractional coordinates:
P 0.0000 0.0000 0.0000 x2
P 0.3333 0.6667 0.2500 x2
Se 0.3333 0.6667 0.7500 x2

Calculated density ... 4613 kg/m³
Energy relative to the lowest polymorph listed for this composition ... 0.7957 eV per atom
Raw total energy ... -23.77 eV/cell
Density of states at the Fermi level ... 0.453 states/eV per atom
ΔE_f (raw) ... 0.806 eV/atom